Entry 1:
LiCdRh: relaxed, PBE.

a = 4.446 Å, b = 4.446 Å, c = 5.528 Å
α = 90.00°, β = 90.00°, γ = 120.00°
Sites, in units of the cell vectors:
Li: 0.000 0.000 0.217
Li: 0.000 0.000 0.783
Cd: 0.333 0.667 0.625
Cd: 0.667 0.333 0.375
Rh: 0.333 0.667 0.113
Rh: 0.667 0.333 0.887

=====

Entry 2:
LiTbIn2: relaxed, PBE.

a = 5.136 Å, b = 5.136 Å, c = 5.136 Å
α = 60.00°, β = 60.00°, γ = 60.00°
Sites, in units of the cell vectors:
Li: 0.000 0.000 0.000
Tb: 0.500 0.500 0.500
In: 0.250 0.250 0.250
In: 0.750 0.750 0.750

=====

Entry 3:
U2MnRh: relaxed, PBE.

a = 9.549 Å, b = 9.549 Å, c = 9.549 Å
α = 17.62°, β = 17.62°, γ = 17.62°
Sites, in units of the cell vectors:
U: 0.091 0.091 0.091
U: 0.909 0.909 0.909
Mn: 0.500 0.500 0.500
Rh: 0.000 0.000 0.000

=====

no.,DFT formation energy (eV per formula unit)
1,-0.5
2,-1.5
3,0.9